[1]
# Hf2GaS2, relaxed, DFT PBE
data_Hf2GaS2
_chemical_formula_sum 'Hf2 Ga1 S2'
_symmetry_space_group_name_H-M 'P 1'
_symmetry_Int_Tables_number 1
_cell_length_a 4.464
_cell_length_b 4.464
_cell_length_c 6.276
_cell_angle_alpha 69.17
_cell_angle_beta 69.17
_cell_angle_gamma 90.00
loop_
_symmetry_equiv_pos_as_xyz
'x,y,z'
loop_
_atom_site_label
_atom_site_type_symbol
_atom_site_fract_x
_atom_site_fract_y
_atom_site_fract_z
_atom_site_occupancy
Hf1 Hf 0.363 0.363 0.275 1
Hf2 Hf 0.637 0.637 0.725 1
S1 S 0.250 0.750 0.500 1
S2 S 0.750 0.250 0.500 1
Ga1 Ga 0.000 0.000 0.000 1
# E_tot	-6.846	eV per atom
# space-group type	I4/mmm (139)
# formation energy without anion corrections	-608.7	meV per atom
# energy above the most stable polymorph in this dataset	234	meV/atom

***

[2]
# CaGa2Cu, relaxed, DFT PBE
data_CaGa2Cu
_chemical_formula_sum 'Ca1 Ga2 Cu1'
_symmetry_space_group_name_H-M 'P 1'
_symmetry_Int_Tables_number 1
_cell_length_a 4.211
_cell_length_b 4.211
_cell_length_c 5.858
_cell_angle_alpha 68.93
_cell_angle_beta 68.93
_cell_angle_gamma 60.00
loop_
_symmetry_equiv_pos_as_xyz
'x,y,z'
loop_
_atom_site_label
_atom_site_type_symbol
_atom_site_fract_x
_atom_site_fract_y
_atom_site_fract_z
_atom_site_occupancy
Cu1 Cu 0.500 0.500 0.500 1
Ga1 Ga 0.209 0.209 0.372 1
Ga2 Ga 0.791 0.791 0.628 1
Ca1 Ca 0.000 0.000 0.000 1
# E_tot	-3.382	eV per atom
# space-group type	R-3m (166)
# energy of formation	-0.34	eV/atom

***

[3]
# CaAl2P, relaxed, DFT PBE
data_CaAl2P
_chemical_formula_sum 'Ca1 Al2 P1'
_symmetry_space_group_name_H-M 'P 1'
_symmetry_Int_Tables_number 1
_cell_length_a 4.839
_cell_length_b 4.839
_cell_length_c 4.839
_cell_angle_alpha 60.00
_cell_angle_beta 60.00
_cell_angle_gamma 60.00
loop_
_symmetry_equiv_pos_as_xyz
'x,y,z'
loop_
_atom_site_label
_atom_site_type_symbol
_atom_site_fract_x
_atom_site_fract_y
_atom_site_fract_z
_atom_site_occupancy
Al1 Al 0.000 0.000 0.000 1
Al2 Al 0.250 0.250 0.250 1
Ca1 Ca 0.500 0.500 0.500 1
P1 P 0.750 0.750 0.750 1
# E_tot	-3.750	eV per atom
# space-group type	F-43m (216)
# energy of formation	-0.03	eV/atom

***

[4]
# SiPb2Br, relaxed, DFT PBE
data_SiPb2Br
_chemical_formula_sum 'Si1 Pb2 Br1'
_symmetry_space_group_name_H-M 'P 1'
_symmetry_Int_Tables_number 1
_cell_length_a 4.207
_cell_length_b 4.207
_cell_length_c 7.104
_cell_angle_alpha 90.00
_cell_angle_beta 90.00
_cell_angle_gamma 90.00
loop_
_symmetry_equiv_pos_as_xyz
'x,y,z'
loop_
_atom_site_label
_atom_site_type_symbol
_atom_site_fract_x
_atom_site_fract_y
_atom_site_fract_z
_atom_site_occupancy
Pb1 Pb 0.500 0.500 0.373 1
Pb2 Pb 0.000 0.000 0.951 1
Br1 Br 0.500 0.500 0.827 1
Si1 Si 0.000 0.000 0.349 1
# E_tot	-3.527	eV per atom
# space-group type	P4mm (99)
# formation energy without anion corrections	101.6	meV per atom
# energy above the most stable polymorph in this dataset	166	meV/atom

***

[5]
# YPdBr, relaxed, DFT PBE
data_YPdBr
_chemical_formula_sum 'Y2 Pd2 Br2'
_symmetry_space_group_name_H-M 'P 1'
_symmetry_Int_Tables_number 1
_cell_length_a 3.978
_cell_length_b 3.979
_cell_length_c 12.617
_cell_angle_alpha 89.95
_cell_angle_beta 80.93
_cell_angle_gamma 60.01
loop_
_symmetry_equiv_pos_as_xyz
'x,y,z'
loop_
_atom_site_label
_atom_site_type_symbol
_atom_site_fract_x
_atom_site_fract_y
_atom_site_fract_z
_atom_site_occupancy
Y1 Y 0.797 0.102 0.305 1
Y2 Y 0.203 0.898 0.695 1
Pd1 Pd 0.374 0.813 0.438 1
Pd2 Pd 0.626 0.187 0.562 1
Br1 Br 0.770 0.614 0.846 1
Br2 Br 0.230 0.386 0.154 1
# E_tot	-5.595	eV per atom
# space-group type	C2/m (12)
# formation energy without anion corrections	-1151.3	meV per atom